## i
Below is a relaxed IrPbCl2 crystal, with properties calculated at the PBEsol level.

Properties
Total magnetization (μB/atom): 0.00

The structure in CIF format:
```
data_IrPbCl2
_chemical_formula_sum 'Ir1 Pb1 Cl2'
_cell_length_a 7.389
_cell_length_b 7.389
_cell_length_c 7.389
_cell_angle_alpha 155.51
_cell_angle_beta 148.21
_cell_angle_gamma 40.54
_symmetry_space_group_name_H-M 'P 1'
_symmetry_Int_Tables_number 1
loop_
_symmetry_equiv_pos_as_xyz
'x,y,z'
loop_
_atom_site_label
_atom_site_type_symbol
_atom_site_fract_x
_atom_site_fract_y
_atom_site_fract_z
_atom_site_occupancy
Ir1 Ir 0.000 0.000 0.000 1
Pb1 Pb 0.171 0.671 0.500 1
Cl1 Cl 0.484 0.484 0.000 1
Cl2 Cl 0.775 0.275 0.500 1
```

---

## ii
Below is a relaxed IrPbCl2 crystal, with properties calculated at the PBEsol level.

Properties
Total magnetization (μB/atom): 0.31

The structure in CIF format:
```
data_IrPbCl2
_chemical_formula_sum 'Ir1 Pb1 Cl2'
_cell_length_a 4.813
_cell_length_b 4.813
_cell_length_c 4.813
_cell_angle_alpha 120.11
_cell_angle_beta 120.11
_cell_angle_gamma 89.81
_symmetry_space_group_name_H-M 'P 1'
_symmetry_Int_Tables_number 1
loop_
_symmetry_equiv_pos_as_xyz
'x,y,z'
loop_
_atom_site_label
_atom_site_type_symbol
_atom_site_fract_x
_atom_site_fract_y
_atom_site_fract_z
_atom_site_occupancy
Ir1 Ir 0.000 0.000 0.000 1
Pb1 Pb 0.500 0.500 0.000 1
Cl1 Cl 0.250 0.750 0.500 1
Cl2 Cl 0.750 0.250 0.500 1
```

---

i is favored, and the nearest alternative lies 435 meV/atom above it.

---

## i
Below is a relaxed ReNiIr2 crystal, with properties calculated at the PBEsol level.

Properties
Total magnetization (μB/atom): 0.12

The structure in CIF format:
```
data_ReNiIr2
_chemical_formula_sum 'Re1 Ni1 Ir2'
_cell_length_a 2.708
_cell_length_b 2.708
_cell_length_c 7.289
_cell_angle_alpha 90.00
_cell_angle_beta 90.00
_cell_angle_gamma 90.00
_symmetry_space_group_name_H-M 'P 1'
_symmetry_Int_Tables_number 1
loop_
_symmetry_equiv_pos_as_xyz
'x,y,z'
loop_
_atom_site_label
_atom_site_type_symbol
_atom_site_fract_x
_atom_site_fract_y
_atom_site_fract_z
_atom_site_occupancy
Re1 Re 0.000 0.000 0.000 1
Ni1 Ni 0.000 0.000 0.500 1
Ir1 Ir 0.500 0.500 0.257 1
Ir2 Ir 0.500 0.500 0.743 1
```

---

## ii
Below is a relaxed ReNiIr2 crystal, with properties calculated at the PBEsol level.

Properties
Total magnetization (μB/atom): 0.00

The structure in CIF format:
```
data_ReNiIr2
_chemical_formula_sum 'Re1 Ni1 Ir2'
_cell_length_a 4.515
_cell_length_b 4.515
_cell_length_c 2.702
_cell_angle_alpha 90.00
_cell_angle_beta 90.00
_cell_angle_gamma 90.00
_symmetry_space_group_name_H-M 'P 1'
_symmetry_Int_Tables_number 1
loop_
_symmetry_equiv_pos_as_xyz
'x,y,z'
loop_
_atom_site_label
_atom_site_type_symbol
_atom_site_fract_x
_atom_site_fract_y
_atom_site_fract_z
_atom_site_occupancy
Re1 Re 0.000 0.000 0.000 1
Ni1 Ni 0.500 0.500 0.000 1
Ir1 Ir 0.000 0.500 0.500 1
Ir2 Ir 0.500 0.000 0.500 1
```

---

i is favored, and the nearest alternative lies 385 meV/atom above it.

---

## i
Below is a relaxed LaOsBr2 crystal, with properties calculated at the PBEsol level.

Properties
Total magnetization (μB/atom): 0.71

The structure in CIF format:
```
data_LaOsBr2
_chemical_formula_sum 'La1 Os1 Br2'
_cell_length_a 5.025
_cell_length_b 5.025
_cell_length_c 5.025
_cell_angle_alpha 60.00
_cell_angle_beta 60.00
_cell_angle_gamma 60.00
_symmetry_space_group_name_H-M 'P 1'
_symmetry_Int_Tables_number 1
loop_
_symmetry_equiv_pos_as_xyz
'x,y,z'
loop_
_atom_site_label
_atom_site_type_symbol
_atom_site_fract_x
_atom_site_fract_y
_atom_site_fract_z
_atom_site_occupancy
La1 La 0.000 0.000 0.000 1
Os1 Os 0.500 0.500 0.500 1
Br1 Br 0.250 0.250 0.250 1
Br2 Br 0.750 0.750 0.750 1
```

---

## ii
Below is a relaxed LaOsBr2 crystal, with properties calculated at the PBEsol level.

Properties
Total magnetization (μB/atom): 0.20

The structure in CIF format:
```
data_LaOsBr2
_chemical_formula_sum 'La1 Os1 Br2'
_cell_length_a 4.698
_cell_length_b 4.698
_cell_length_c 4.276
_cell_angle_alpha 90.00
_cell_angle_beta 90.00
_cell_angle_gamma 99.44
_symmetry_space_group_name_H-M 'P 1'
_symmetry_Int_Tables_number 1
loop_
_symmetry_equiv_pos_as_xyz
'x,y,z'
loop_
_atom_site_label
_atom_site_type_symbol
_atom_site_fract_x
_atom_site_fract_y
_atom_site_fract_z
_atom_site_occupancy
La1 La 0.000 0.000 0.000 1
Os1 Os 0.500 0.500 0.000 1
Br1 Br 0.292 0.708 0.500 1
Br2 Br 0.708 0.292 0.500 1
```

---

ii is favored, and the nearest alternative lies 231 meV/atom above it.